Below is a relaxed structure of Ba2CoRh, with properties calculated at the PBE level.

```
4
Lattice="-6.5955 -4.2219 -1.4299 -3.2849 -7.2130 -0.7434 -5.3104 -5.2406 2.7758" Properties=species:S:1:pos:R:3 pbc="T T T"
Ba -0.1204 -0.1322 0.0048
Ba -7.4749 -8.2056 0.2965
Co -3.7977 -4.1689 0.1506
Rh -11.3931 -12.5066 0.4519
```

Summary:
SG: No. 166
ΔE to the lowest computed polymorph, meV/atom: 594
Formation enthalpy at 0 K, eV per atom: 0.57
E_tot, eV/atom: -4.001
Magnetization, μB/atom: 0.50
D(E_F), states/eV per cell: 1.57